Cu2Te | PBE | relaxed

The calculated total energy is -84.9 eV/cell. The volume is 447 Å³ per cell.

The space group is P-3m1 (No. 164) and the conventional cell measures 8.4324, 8.4324 and 7.2542 Å, with angles of 90.00, 90.00 and 120.00 degrees. The inequivalent atoms are Cu at (0.0000, 0.0000, 0.1639), Cu at (0.0303, 0.5152, 0.8288), Cu at (0.1745, 0.3490, 0.0559), Cu at (0.3333, 0.6667, 0.6070), Te at (0.1598, 0.3197, 0.6906) and Te at (0.3333, 0.6667, 0.2438).

PuNi2H6 | PBE | relaxed

The calculated total energy is -48.0 eV/cell. The volume is 67 Å³ per cell.

The space group is P6/mmm (No. 191) and the conventional cell measures 4.3500, 4.3500 and 4.1122 Å, with angles of 90.00, 90.00 and 120.00 degrees. The inequivalent atoms are Pu at (0.0000, 0.0000, 0.0000), Ni at (0.3333, 0.6667, 0.5000) and H at (0.0000, 0.5000, 0.2415).

Gd2FeN2 | PBE | relaxed

The calculated total energy is -157.8 eV/cell. The volume is 296 Å³ per cell.

The space group is C2/m (No. 12) and the conventional cell measures 10.6247, 4.9460 and 6.5356 Å, with angles of 90.00, 120.46 and 90.00 degrees. The inequivalent atoms are Gd at (0.0440, 0.0000, 0.2860), Gd at (0.1803, 0.5000, 0.1052), Fe at (0.1272, 0.5000, 0.6153), N at (0.0143, 0.5000, 0.2794) and N at (0.1782, 0.0000, 0.0923).

Gd2Ho2CBr5 | PBE | relaxed

The calculated total energy is -100.8 eV/cell. The volume is 544 Å³ per cell.

The space group is C2/m (No. 12) and the conventional cell measures 17.8350, 3.8291 and 8.1736 Å, with angles of 90.00, 102.94 and 90.00 degrees. The inequivalent atoms are Gd at (0.0014, 0.0000, 0.2971), Ho at (0.1375, 0.5000, 0.5729), C at (0.0000, 0.5000, 0.5000), Br at (0.0000, 0.5000, 0.0000), Br at (0.1651, 0.0000, 0.8372) and Br at (0.1719, 0.0000, 0.3356).

Er2Tm5Cu2Te2 | PBE | relaxed

The calculated total energy is -102.9 eV/cell. The volume is 569 Å³ per cell.

The space group is Imm2 (No. 44) and the conventional cell measures 3.9190, 15.2956 and 9.4947 Å, with angles of 90.00, 90.00 and 90.00 degrees. The inequivalent atoms are Er at (0.0000, 0.1301, 0.0000), Tm at (0.0000, 0.0000, 0.4159), Tm at (0.0000, 0.3148, 0.7954), Tm at (0.0000, 0.3563, 0.1515), Cu at (0.0000, 0.2359, 0.4897), Te at (0.0000, 0.0000, 0.7531) and Te at (0.0000, 0.5000, 0.6521).

KTh | PBE | relaxed

The calculated total energy is -7.3 eV/cell. The volume is 80 Å³ per cell.

The space group is P-6m2 (No. 187) and the conventional cell measures 3.5224, 3.5224 and 7.4586 Å, with angles of 90.00, 90.00 and 120.00 degrees. The inequivalent atoms are K at (0.0000, 0.0000, 0.0000) and Th at (0.6667, 0.3333, 0.5000).

MgNiGeMo | PBE | relaxed

The calculated total energy is -88.2 eV/cell. For the energy above the most stable polymorph in this dataset, the calculation gives 0 kJ/mol of formula units. The volume is 230 Å³ per cell.

The space group is F-43m (No. 216) and the conventional cell measures 6.1231, 6.1231 and 6.1231 Å, with angles of 90.00, 90.00 and 90.00 degrees. The inequivalent atoms are Mg at (0.0000, 0.0000, 0.0000), Ni at (0.2500, 0.2500, 0.7500), Ge at (0.0000, 0.0000, 0.5000) and Mo at (0.2500, 0.2500, 0.2500).

TcC5BrO5 | PBE | relaxed

The calculated total energy is -365.3 eV/cell. The volume is 794 Å³ per cell.

The space group is Pnma (No. 62) and the conventional cell measures 11.6026, 11.4161 and 5.9914 Å, with angles of 90.00, 90.00 and 90.00 degrees. The inequivalent atoms are Tc at (0.1234, 0.2500, 0.0537), C at (0.0257, 0.2500, 0.7950), C at (0.0289, 0.1240, 0.1959), C at (0.2253, 0.1258, 0.9240), Br at (0.2417, 0.7500, 0.9049), O at (0.0228, 0.5478, 0.7277), O at (0.0346, 0.7500, 0.3597) and O at (0.2164, 0.5534, 0.3531).

CuNiSnMo | PBE | relaxed

The calculated total energy is -92.7 eV/cell. For the energy above the most stable polymorph in this dataset, the calculation gives 0 kJ/mol of formula units. The volume is 238 Å³ per cell.

The space group is F-43m (No. 216) and the conventional cell measures 6.1939, 6.1939 and 6.1939 Å, with angles of 90.00, 90.00 and 90.00 degrees. The inequivalent atoms are Cu at (0.0000, 0.0000, 0.0000), Ni at (0.0000, 0.0000, 0.5000), Sn at (0.2500, 0.2500, 0.7500) and Mo at (0.2500, 0.2500, 0.2500).

AgSI6 | PBE | relaxed

The calculated total energy is -54.2 eV/cell. The volume is 1264 Å³ per cell.

The space group is F-43m (No. 216) and the conventional cell measures 10.8132, 10.8132 and 10.8132 Å, with angles of 90.00, 90.00 and 90.00 degrees. The inequivalent atoms are Ag at (0.0000, 0.0000, 0.0000), S at (0.2500, 0.2500, 0.7500) and I at (0.0000, 0.2500, 0.2500).

Lu2Ta4Fe3N3 | PBE | relaxed

The calculated total energy is -460.9 eV/cell. The volume is 663 Å³ per cell.

The space group is C2/c (No. 15) and the conventional cell measures 9.3109, 5.3816 and 13.6002 Å, with angles of 90.00, 103.34 and 90.00 degrees. The inequivalent atoms are Lu at (0.0416, 0.0836, 0.3777), Ta at (0.1131, 0.4118, 0.5916), Ta at (0.2219, 0.4165, 0.9082), Fe at (0.0000, 0.4215, 0.7500), Fe at (0.2467, 0.1620, 0.7504), N at (0.0820, 0.2462, 0.0000) and N at (0.2500, 0.2500, 0.5000).

CdP14Pb | PBE | relaxed

The calculated total energy is -319.3 eV/cell. For the energy above the most stable polymorph in this dataset, the calculation gives 0 kJ/mol of formula units. The volume is 1542 Å³ per cell.

The space group is Pnma (No. 62) and the conventional cell measures 14.0297, 9.8225 and 11.1900 Å, with angles of 90.00, 90.00 and 90.00 degrees. The inequivalent atoms are Cd at (0.0936, 0.2500, 0.0924), P at (0.0499, 0.0794, 0.8473), P at (0.0560, 0.0859, 0.3980), P at (0.0660, 0.2500, 0.7200), P at (0.0695, 0.7500, 0.3873), P at (0.0805, 0.7500, 0.8338), P at (0.0880, 0.5759, 0.7084), P at (0.1038, 0.5426, 0.1275), P at (0.1411, 0.2500, 0.3176), P at (0.1481, 0.5717, 0.3137) and Pb at (0.2193, 0.7500, 0.0228).